1.
Here is crystalline Pa2Si3Pt5 at its relaxed geometry from Alexandria via LeMat-Bulk. Energies are from PBE.

As for the formation energy without anion corrections: -897 meV per atom. The value obtained for the total magnetization is 0.000 Bohr magnetons per cell. The density of states at the Fermi level is 5.0 states/eV/f.u.

The space group is Cmc2_1 (No. 36) and the conventional cell measures 4.2649, 23.4470 and 6.9760 Å, with angles of 90.00, 90.00 and 90.00 degrees. The asymmetric unit holds Pa at (0.0000, 0.0224, 0.0000), Pa at (0.0000, 0.3255, 0.9808), Si at (0.0000, 0.1042, 0.3287), Si at (0.0000, 0.2794, 0.4219), Si at (0.0000, 0.4473, 0.1856), Pt at (0.0000, 0.1082, 0.6950), Pt at (0.0000, 0.1933, 0.1352), Pt at (0.0000, 0.2275, 0.7237), Pt at (0.0000, 0.3823, 0.4721) and Pt at (0.0000, 0.4503, 0.8052).

=====

2.
Here is crystalline Nd2SnHPt6 at its relaxed geometry from Alexandria via LeMat-Bulk. Energies are from PBE.

As for the energy: -6.04 eV/atom. The value obtained for the total magnetization is 0.000 Bohr magnetons per cell. The density of states at the Fermi level is 3.8 states/eV/f.u.

The space group is C2/m (No. 12) and the conventional cell measures 9.9820, 5.7639 and 7.2249 Å, with angles of 90.00, 117.58 and 90.00 degrees. The asymmetric unit holds Nd at (0.2215, 0.0000, 0.1665), Sn at (0.0000, 0.5000, 0.0000), H at (0.0000, 0.0000, 0.5000), Pt at (0.0219, 0.2493, 0.3188) and Pt at (0.2267, 0.0000, 0.6791).

=====

3.
Here is crystalline PmNdYHo3 at its relaxed geometry from Alexandria via LeMat-Bulk. Energies are from PBE.

The value obtained for the total magnetization is 0.000 Bohr magnetons per cell. For the energy relative to the elements, the calculation gives 0.13 eV/f.u. The density of states at the Fermi level is 8.6 states/eV/f.u.

The space group is Cmcm (No. 63) and the conventional cell measures 5.0643, 15.1842 and 10.1378 Å, with angles of 90.00, 90.00 and 90.00 degrees. The asymmetric unit holds Pm at (0.0000, 0.0010, 0.2500), Nd at (0.0000, 0.5000, 0.0000), Y at (0.0000, 0.3318, 0.2500), Ho at (0.0000, 0.1682, 0.0001) and Ho at (0.0000, 0.3323, 0.7500).

=====

4.
Here is crystalline Mn2C at its relaxed geometry from Alexandria via LeMat-Bulk. Energies are from PBE.

The value obtained for the total magnetization is 0.012 Bohr magnetons per cell. For the energy relative to the elements, the calculation gives 0.08 eV/f.u. The density of states at the Fermi level is 2.6 states/eV/f.u.

The space group is Cmc2_1 (No. 36) and the conventional cell measures 2.5922, 8.7229 and 4.6283 Å, with angles of 90.00, 90.00 and 90.00 degrees. The asymmetric unit holds Mn at (0.0000, 0.0290, 0.0000), Mn at (0.0000, 0.2863, 0.8124) and C at (0.0000, 0.3853, 0.2144).

=====

5.
Here is crystalline KScAl at its relaxed geometry from Alexandria via LeMat-Bulk. Energies are from PBE.

The value obtained for the total magnetization is 0.001 Bohr magnetons per cell. For the energy relative to the elements, the calculation gives 1.02 eV/f.u. The density of states at the Fermi level is 3.5 states/eV/f.u.

The space group is P3m1 (No. 156) and the conventional cell measures 3.4120, 3.4120 and 8.5964 Å, with angles of 90.00, 90.00 and 120.00 degrees. The asymmetric unit holds K at (0.0000, 0.0000, 0.0000), Sc at (0.3333, 0.6667, 0.4072) and Al at (0.6667, 0.3333, 0.6562).

=====

6.
Here is crystalline CeYTcHg at its relaxed geometry from Alexandria via LeMat-Bulk. Energies are from PBE.

The value obtained for the total magnetization is 0.001 Bohr magnetons per cell. For the energy relative to the elements, the calculation gives -0.40 eV/f.u. The density of states at the Fermi level is 5.2 states/eV/f.u.

The space group is F-43m (No. 216) and the conventional cell measures 7.2016, 7.2016 and 7.2016 Å, with angles of 90.00, 90.00 and 90.00 degrees. The asymmetric unit holds Ce at (0.0000, 0.0000, 0.0000), Y at (0.0000, 0.0000, 0.5000), Tc at (0.2500, 0.2500, 0.2500) and Hg at (0.2500, 0.2500, 0.7500).

=====

7.
Here is crystalline TbNdTm5 at its relaxed geometry from Alexandria via LeMat-Bulk. Energies are from PBE.

The value obtained for the total magnetization is 0.000 Bohr magnetons per cell. For the energy relative to the elements, the calculation gives 7.91 eV/f.u. The density of states at the Fermi level is 7.7 states/eV/f.u.

The space group is Immm (No. 71) and the conventional cell measures 5.7344, 8.5723 and 11.8595 Å, with angles of 90.00, 90.00 and 90.00 degrees. The asymmetric unit holds Tb at (0.0000, 0.0000, 0.0000), Nd at (0.0000, 0.0000, 0.5000), Tm at (0.0000, 0.0000, 0.2565), Tm at (0.0000, 0.3227, 0.5000) and Tm at (0.0000, 0.5000, 0.0000).

=====

8.
Here is crystalline FeBi3As at its relaxed geometry from Alexandria via LeMat-Bulk. Energies are from PBE.

The value obtained for the total magnetization is 0.006 Bohr magnetons per cell. For the energy relative to the elements, the calculation gives 6.99 eV/f.u. The density of states at the Fermi level is 10.0 states/eV/f.u.

The space group is Pm-3m (No. 221) and the conventional cell measures 5.4820, 5.4820 and 5.4820 Å, with angles of 90.00, 90.00 and 90.00 degrees. The asymmetric unit holds Fe at (0.0000, 0.0000, 0.0000), Bi at (0.0000, 0.5000, 0.5000) and As at (0.5000, 0.5000, 0.5000).

=====

9.
Here is crystalline Ba2PuH12Rh3 at its relaxed geometry from Alexandria via LeMat-Bulk. Energies are from PBE.

As for the energy: -4.84 eV/atom. The value obtained for the total magnetization is 16.542 Bohr magnetons per cell. The density of states at the Fermi level is 12.3 states/eV/f.u.

The space group is R-3m (No. 166, hexagonal axes) and the conventional cell measures 6.9055, 6.9055 and 14.8678 Å, with angles of 90.00, 90.00 and 120.00 degrees. The asymmetric unit holds Ba at (0.0000, 0.0000, 0.1150), Pu at (0.0000, 0.0000, 0.5000), H at (0.0188, 0.5094, 0.8872), H at (0.0875, 0.5438, 0.3229) and Rh at (0.0000, 0.5000, 0.0000).

=====

10.
Here is crystalline MnTlNi2 at its relaxed geometry from Alexandria via LeMat-Bulk. Energies are from PBE.

The value obtained for the total magnetization is 8.556 Bohr magnetons per cell. For the energy relative to the elements, the calculation gives 0.82 eV/f.u. The density of states at the Fermi level is 1.9 states/eV/f.u.

The space group is Imm2 (No. 44) and the conventional cell measures 3.7709, 3.8167 and 8.0393 Å, with angles of 90.00, 90.00 and 90.00 degrees. The asymmetric unit holds Mn at (0.0000, 0.0000, 0.0000), Tl at (0.0000, 0.5000, 0.2492), Ni at (0.0000, 0.0000, 0.4985) and Ni at (0.0000, 0.5000, 0.7474).

=====

11.
Here is crystalline LaScTa2 at its relaxed geometry from Alexandria via LeMat-Bulk. Energies are from PBE.

The value obtained for the total magnetization is 0.000 Bohr magnetons per cell. For the energy relative to the elements, the calculation gives 1.88 eV/f.u. The density of states at the Fermi level is 4.9 states/eV/f.u.

The space group is Cmmm (No. 65) and the conventional cell measures 5.9657, 10.1159 and 2.9346 Å, with angles of 90.00, 90.00 and 90.00 degrees. The asymmetric unit holds La at (0.0000, 0.0000, 0.0000), Sc at (0.0000, 0.5000, 0.0000) and Ta at (0.2500, 0.2500, 0.5000).

=====

12.
Here is crystalline ZnPb3C at its relaxed geometry from Alexandria via LeMat-Bulk. Energies are from PBE.

The value obtained for the total magnetization is 1.326 Bohr magnetons per cell. For the energy relative to the elements, the calculation gives 7.95 eV/f.u. The density of states at the Fermi level is 2.5 states/eV/f.u.

The space group is Pm-3m (No. 221) and the conventional cell measures 5.3453, 5.3453 and 5.3453 Å, with angles of 90.00, 90.00 and 90.00 degrees. The asymmetric unit holds Zn at (0.0000, 0.0000, 0.0000), Pb at (0.0000, 0.0000, 0.5000) and C at (0.5000, 0.5000, 0.5000).

=====

13.
Here is crystalline TlCdBrCl2 at its relaxed geometry from Alexandria via LeMat-Bulk. Energies are from PBE.

As for the formation energy without anion corrections: -956 meV per atom. The value obtained for the total magnetization is 0.000 Bohr magnetons per cell. The density of states at the Fermi level is 0.0 states/eV/f.u.

The space group is Cmcm (No. 63) and the conventional cell measures 4.3356, 16.9936 and 8.5513 Å, with angles of 90.00, 90.00 and 90.00 degrees. The asymmetric unit holds Tl at (0.0000, 0.2047, 0.2500), Cd at (0.0000, 0.5000, 0.0000), Br at (0.0000, 0.0023, 0.2500) and Cl at (0.0000, 0.3554, 0.0005).

=====

14.
Here is crystalline WCCl2 at its relaxed geometry from Alexandria via LeMat-Bulk. Energies are from PBE.

As for the formation energy without anion corrections: 1871 meV per atom. The value obtained for the total magnetization is 0.000 Bohr magnetons per cell. The density of states at the Fermi level is 4.3 states/eV/f.u.

The space group is Fm-3m (No. 225) and the conventional cell measures 5.9974, 5.9974 and 5.9974 Å, with angles of 90.00, 90.00 and 90.00 degrees. The asymmetric unit holds W at (0.0000, 0.0000, 0.0000), C at (0.0000, 0.0000, 0.5000) and Cl at (0.2500, 0.2500, 0.2500).

=====

15.
Here is crystalline La2SbIr at its relaxed geometry from Alexandria via LeMat-Bulk. Energies are from PBE.

As for the formation energy without anion corrections: -756 meV per atom. The value obtained for the total magnetization is 0.000 Bohr magnetons per cell. The density of states at the Fermi level is 1.8 states/eV/f.u.

The space group is Imm2 (No. 44) and the conventional cell measures 3.8994, 4.6597 and 11.8145 Å, with angles of 90.00, 90.00 and 90.00 degrees. The asymmetric unit holds La at (0.0000, 0.0000, 0.0000), La at (0.0000, 0.5000, 0.2102), Sb at (0.0000, 0.5000, 0.8023) and Ir at (0.0000, 0.0000, 0.4814).

=====

16.
Here is crystalline Cs2HoAg3F12 at its relaxed geometry from Alexandria via LeMat-Bulk. Energies are from PBE.

As for the formation energy without anion corrections: -2163 meV per atom. The value obtained for the total magnetization is 1.528 Bohr magnetons per cell. The density of states at the Fermi level is 10.1 states/eV/f.u.

The space group is R-3m (No. 166, hexagonal axes) and the conventional cell measures 7.9590, 7.9590 and 20.1269 Å, with angles of 90.00, 90.00 and 120.00 degrees. The asymmetric unit holds Cs at (0.0000, 0.0000, 0.1249), Ho at (0.0000, 0.0000, 0.5000), Ag at (0.0000, 0.5000, 0.0000), F at (0.0619, 0.5310, 0.1112) and F at (0.0751, 0.5375, 0.3515).

=====

17.
Here is crystalline Tm3CoSb at its relaxed geometry from Alexandria via LeMat-Bulk. Energies are from PBE.

As for the formation energy without anion corrections: -497 meV per atom. The value obtained for the total magnetization is 0.000 Bohr magnetons per cell. The density of states at the Fermi level is 3.1 states/eV/f.u.

The space group is Pmmn (No. 59, origin choice 2) and the conventional cell measures 4.1575, 6.6052 and 9.1151 Å, with angles of 90.00, 90.00 and 90.00 degrees. The asymmetric unit holds Tm at (0.2500, 0.0031, 0.1488), Tm at (0.2500, 0.2500, 0.5953), Co at (0.2500, 0.2500, 0.8982) and Sb at (0.2500, 0.7500, 0.6454).

=====

18.
Here is crystalline Na2ScBr6 at its relaxed geometry from Alexandria via LeMat-Bulk. Energies are from PBE.

As for the formation energy without anion corrections: -1346 meV per atom. The value obtained for the total magnetization is 1.603 Bohr magnetons per cell. The density of states at the Fermi level is 12.9 states/eV/f.u.

The space group is P4_2/mnm (No. 136) and the conventional cell measures 6.7951, 6.7951 and 12.8406 Å, with angles of 90.00, 90.00 and 90.00 degrees. The asymmetric unit holds Na at (0.0000, 0.0000, 0.1685), Sc at (0.0000, 0.0000, 0.5000), Br at (0.1914, 0.1914, 0.3510) and Br at (0.2231, 0.2231, 0.0000).

=====

19.
Here is crystalline BeBiSbTe2 at its relaxed geometry from Alexandria via LeMat-Bulk. Energies are from PBE.

As for the formation energy without anion corrections: 302 meV per atom. The value obtained for the total magnetization is 0.000 Bohr magnetons per cell. The density of states at the Fermi level is 4.0 states/eV/f.u.

The space group is P4/mmm (No. 123) and the conventional cell measures 5.0675, 5.0675 and 5.0444 Å, with angles of 90.00, 90.00 and 90.00 degrees. The asymmetric unit holds Be at (0.0000, 0.0000, 0.0000), Bi at (0.5000, 0.5000, 0.5000), Sb at (0.0000, 0.0000, 0.5000) and Te at (0.0000, 0.5000, 0.0000).

=====

20.
Here is crystalline Tb2GaSi2Rh5 at its relaxed geometry from Alexandria via LeMat-Bulk. Energies are from PBE.

As for the formation energy without anion corrections: -948 meV per atom. The value obtained for the total magnetization is 0.000 Bohr magnetons per cell. The density of states at the Fermi level is 3.3 states/eV/f.u.

The space group is P4/mbm (No. 127) and the conventional cell measures 9.7393, 9.7393 and 3.4630 Å, with angles of 90.00, 90.00 and 90.00 degrees. The asymmetric unit holds Tb at (0.1750, 0.3250, 0.0000), Ga at (0.0000, 0.0000, 0.0000), Si at (0.1236, 0.6236, 0.0000), Rh at (0.0000, 0.5000, 0.5000) and Rh at (0.0680, 0.7885, 0.5000).